# 1
# Rb3Ac4Te8 | the Alexandria database | GGA-PBE | optimized geometry
# Space-group type: C2/m (12)
# Magnetic moment: 0.06 μB/f.u.
# ΔE_f (raw): -1.287 eV per atom
# Mass density: 5.4 g/cm3
data_Rb3Ac4Te8
_space_group_name_H-M_alt 'P 1'
_space_group_IT_number 1
_space_group_name_Hall 'P 1'
_cell_length_a 9.710
_cell_length_b 9.803
_cell_length_c 9.803
_cell_angle_alpha 90.43
_cell_angle_beta 119.37
_cell_angle_gamma 119.37
loop_
_atom_site_label
_atom_site_type_symbol
_atom_site_fract_x
_atom_site_fract_y
_atom_site_fract_z
Te1 Te 0.983 0.237 0.237
Te2 Te 0.500 0.239 0.761
Te3 Te 0.500 0.761 0.239
Te4 Te 0.000 0.240 0.760
Te5 Te 0.532 0.779 0.779
Te6 Te 0.468 0.221 0.221
Te7 Te 0.000 0.760 0.240
Te8 Te 0.017 0.763 0.763
Ac1 Ac 0.000 0.500 0.000
Ac2 Ac 0.000 0.000 0.500
Ac3 Ac 0.500 0.000 0.000
Ac4 Ac 0.000 0.000 0.000
Rb1 Rb 0.500 0.500 0.000
Rb2 Rb 0.500 0.500 0.500
Rb3 Rb 0.500 0.000 0.500

# 2
# Ba3H12Pt5 | the Alexandria database | GGA-PBE | optimized geometry
# Space-group type: Ia-3d (230)
# Magnetic moment: 0.00 μB/f.u.
# Mass density: 9.1 g/cm3
# VASP energy: -4.08 eV/atom
data_Ba3H12Pt5
_space_group_name_H-M_alt 'P 1'
_space_group_IT_number 1
_space_group_name_Hall 'P 1'
_cell_length_a 10.998
_cell_length_b 10.998
_cell_length_c 10.998
_cell_angle_alpha 109.47
_cell_angle_beta 109.47
_cell_angle_gamma 109.47
loop_
_atom_site_label
_atom_site_type_symbol
_atom_site_fract_x
_atom_site_fract_y
_atom_site_fract_z
Ba1 Ba 0.125 0.250 0.875
Ba2 Ba 0.375 0.625 0.250
Ba3 Ba 0.250 0.625 0.875
Ba4 Ba 0.625 0.375 0.750
Ba5 Ba 0.750 0.875 0.625
Ba6 Ba 0.250 0.125 0.375
Ba7 Ba 0.125 0.875 0.750
Ba8 Ba 0.875 0.125 0.250
Ba9 Ba 0.375 0.750 0.625
Ba10 Ba 0.750 0.375 0.125
Ba11 Ba 0.875 0.750 0.125
Ba12 Ba 0.625 0.250 0.375
H1 H 0.898 0.080 0.922
H2 H 0.477 0.319 0.898
H3 H 0.920 0.819 0.842
H4 H 0.977 0.578 0.658
H5 H 0.842 0.319 0.920
H6 H 0.602 0.578 0.420
H7 H 0.658 0.580 0.181
H8 H 0.422 0.023 0.842
H9 H 0.819 0.898 0.977
H10 H 0.181 0.080 0.658
H11 H 0.580 0.922 0.398
H12 H 0.842 0.523 0.422
H13 H 0.078 0.658 0.477
H14 H 0.920 0.102 0.578
H15 H 0.080 0.898 0.422
H16 H 0.319 0.842 0.420
H17 H 0.398 0.422 0.580
H18 H 0.681 0.523 0.602
H19 H 0.922 0.342 0.523
H20 H 0.578 0.602 0.920
H21 H 0.819 0.920 0.342
H22 H 0.578 0.977 0.158
H23 H 0.078 0.420 0.102
H24 H 0.102 0.181 0.523
H25 H 0.158 0.477 0.578
H26 H 0.523 0.681 0.102
H27 H 0.319 0.477 0.398
H28 H 0.102 0.920 0.078
H29 H 0.922 0.580 0.898
H30 H 0.342 0.420 0.819
H31 H 0.420 0.078 0.602
H32 H 0.681 0.158 0.580
H33 H 0.977 0.398 0.819
H34 H 0.023 0.602 0.181
H35 H 0.523 0.842 0.922
H36 H 0.181 0.102 0.023
H37 H 0.398 0.977 0.319
H38 H 0.602 0.023 0.681
H39 H 0.422 0.398 0.080
H40 H 0.023 0.422 0.342
H41 H 0.158 0.681 0.080
H42 H 0.898 0.819 0.477
H43 H 0.342 0.922 0.023
H44 H 0.477 0.158 0.078
H45 H 0.080 0.181 0.158
H46 H 0.658 0.078 0.977
H47 H 0.420 0.342 0.319
H48 H 0.580 0.658 0.681
Pt1 Pt 0.750 0.625 0.375
Pt2 Pt 0.250 0.875 0.125
Pt3 Pt 0.625 0.875 0.250
Pt4 Pt 0.500 0.000 0.000
Pt5 Pt 0.750 0.125 0.875
Pt6 Pt 0.875 0.625 0.750
Pt7 Pt 0.000 0.500 0.000
Pt8 Pt 0.250 0.375 0.625
Pt9 Pt 0.000 0.000 0.000
Pt10 Pt 0.000 0.000 0.500
Pt11 Pt 0.375 0.250 0.125
Pt12 Pt 0.500 0.500 0.000
Pt13 Pt 0.125 0.375 0.250
Pt14 Pt 0.500 0.500 0.500
Pt15 Pt 0.125 0.750 0.375
Pt16 Pt 0.875 0.250 0.625
Pt17 Pt 0.625 0.750 0.875
Pt18 Pt 0.000 0.500 0.500
Pt19 Pt 0.375 0.125 0.750
Pt20 Pt 0.500 0.000 0.500

# 3
# CaZrP2O | the Alexandria database | GGA-PBE | optimized geometry
# Space-group type: P4/mmm (123)
# Magnetic moment: 0.75 μB/f.u.
# ΔE_f (raw): -1.076 eV per atom
# Mass density: 3.2 g/cm3
# Distance to the lowest polymorph of the same formula: 0 meV/atom
data_CaZrP2O
_space_group_name_H-M_alt 'P 1'
_space_group_IT_number 1
_space_group_name_Hall 'P 1'
_cell_length_a 5.191
_cell_length_b 5.191
_cell_length_c 4.060
_cell_angle_alpha 90.00
_cell_angle_beta 90.00
_cell_angle_gamma 90.00
loop_
_atom_site_label
_atom_site_type_symbol
_atom_site_fract_x
_atom_site_fract_y
_atom_site_fract_z
Zr1 Zr 0.000 0.000 0.000
P1 P 0.000 0.500 0.000
P2 P 0.500 0.000 0.000
Ca1 Ca 0.500 0.500 0.500
O1 O 0.000 0.000 0.500

- Which formula does entry 3 have?
  CaZrP2O

- mass density of number 1 (Rb3Ac4Te8)?
  5.4 g/cm3

- The lowest magnetic moment belongs to which entry?
  Ba3H12Pt5

- Which formula does entry 3 have?
  CaZrP2O